Entry 1:
Density functional theory data (PBE) for a relaxed ZnGaNi2 crystal.

Lattice parameters (Å, degrees): 4.207 4.207 2.784 90.00 90.00 97.79
Element x y z (fractional)
Zn 0.000 0.000 0.000
Ga 0.500 0.500 0.000
Ni 0.000 0.500 0.500
Ni 0.500 0.000 0.500

Values from the calculation:
raw total energy = -16.77 eV per cell
space-group type = Cmmm, No. 65

---

Entry 2:
Density functional theory data (PBE) for a relaxed ZnGaNi2 crystal.

Lattice parameters (Å, degrees): 4.132 4.132 7.177 90.00 90.00 120.00
Element x y z (fractional)
Zn 0.000 0.000 0.250
Zn 0.000 0.000 0.750
Ga 0.333 0.667 0.250
Ga 0.667 0.333 0.750
Ni 0.333 0.667 0.584
Ni 0.333 0.667 0.916
Ni 0.667 0.333 0.084
Ni 0.667 0.333 0.416

Values from the calculation:
raw total energy = -31.25 eV per cell
space-group type = P6_3/mmc, No. 194

---

Entry 3:
Density functional theory data (PBE) for a relaxed ZnGa2Ni crystal.

Lattice parameters (Å, degrees): 4.372 4.372 4.372 60.00 60.00 60.00
Element x y z (fractional)
Zn 0.000 0.000 0.000
Ga 0.500 0.500 0.500
Ga 0.750 0.750 0.750
Ni 0.250 0.250 0.250

Values from the calculation:
raw total energy = -12.74 eV per cell
space-group type = F-43m, No. 216

---

Repeat the third record exactly.
Density functional theory data (PBE) for a relaxed ZnGa2Ni crystal.

Lattice parameters (Å, degrees): 4.372 4.372 4.372 60.00 60.00 60.00
Element x y z (fractional)
Zn 0.000 0.000 0.000
Ga 0.500 0.500 0.500
Ga 0.750 0.750 0.750
Ni 0.250 0.250 0.250

Values from the calculation:
raw total energy = -12.74 eV per cell
space-group type = F-43m, No. 216